[1]
! PBE Sr3PdPt8, optimized geometry; values from VASP
! - formation enthalpy at 0 K (kJ/mol of formula units) = -771.8
&SYSTEM
  ibrav = 0, nat = 12, ntyp = 3
/
ATOMIC_SPECIES
Sr 87.62 Sr.upf
Pd 106.42 Pd.upf
Pt 195.08 Pt.upf
CELL_PARAMETERS angstrom
2.749 1.587 8.922
-2.749 1.587 8.922
0.000 -3.175 8.922
ATOMIC_POSITIONS angstrom
Sr 0.000 0.000 0.000
Sr 0.000 0.000 3.440
Sr 0.000 0.000 13.712
Pd 0.000 0.000 17.048
Pt -1.377 -0.795 10.678
Pt 0.000 -1.586 6.272
Pt -1.374 0.793 6.272
Pt 0.000 0.000 8.467
Pt 1.377 -0.795 10.678
Pt 0.000 1.590 10.678
Pt 1.374 0.793 6.272
Pt 0.000 0.000 21.861

[2]
! PBE Pr2HgH2, optimized geometry; values from VASP
! - VASP energy (eV per cell) = -19.4
&SYSTEM
  ibrav = 0, nat = 5, ntyp = 3
/
ATOMIC_SPECIES
Pr 140.91 Pr.upf
Hg 200.59 Hg.upf
H 1.01 H.upf
CELL_PARAMETERS angstrom
-1.983 1.983 6.322
1.983 -1.983 6.322
1.983 1.983 -6.322
ATOMIC_POSITIONS angstrom
Pr 0.000 0.000 1.861
Pr 0.000 0.000 10.783
Hg 0.000 0.000 6.322
H 1.983 0.000 3.161
H 0.000 1.983 3.161